! AlAg2Hg | the Alexandria database | PBE | relaxed; values from VASP
&SYSTEM
  ibrav = 0, nat = 4, ntyp = 3
/
ATOMIC_SPECIES
Al 26.98 Al.upf
Ag 107.87 Ag.upf
Hg 200.59 Hg.upf
ATOMIC_POSITIONS crystal
Al 0.000 0.000 0.000
Ag 0.386 0.500 0.231
Ag 0.614 0.500 0.769
Hg 0.000 0.000 0.500
CELL_PARAMETERS angstrom
3.007 0.000 0.000
0.000 4.417 0.000
-0.754 0.000 5.655
! formation energy from the elements = 0.3 eV per formula unit
! energy above the lowest structure with this stoichiometry = 0.045 eV/atom
! total magnetization = 0.0 μB per cell
! symmetry = P2/m (10)